The following is a DFT calculation (GGA-PBE) of an optimized crystal structure of Tl2SbRhO6.

V: 133.2 Å³ per cell
crystal system: tetragonal
spin magnetization: 0.001 μB/cell
total energy: -5.314 eV/atom

Geometry as CIF:
```
data_Tl2SbRhO6
_cell_length_a 5.752
_cell_length_b 5.752
_cell_length_c 4.025
_cell_angle_alpha 90.00
_cell_angle_beta 90.00
_cell_angle_gamma 90.00
_symmetry_space_group_name_H-M 'P 4/m m m'
_symmetry_Int_Tables_number 123
_symmetry_space_group_name_Hall '-P 4 2'
loop_
_atom_site_label
_atom_site_type_symbol
_atom_site_fract_x
_atom_site_fract_y
_atom_site_fract_z
Tl1 Tl 0.000 0.500 0.000
Sb1 Sb 0.000 0.000 0.500
Rh1 Rh 0.500 0.500 0.500
O1 O 0.000 0.000 0.000
O2 O 0.250 0.250 0.500
O3 O 0.500 0.500 0.000
```

=====

The following is a DFT calculation (GGA-PBE) of an optimized crystal structure of Ce3Ga12Pd5.

calculated formation energy: -0.117 eV per atom
V: 3863.1 Å³ per cell
crystal system: cubic
spin magnetization: 26.943 μB/cell

Geometry as CIF:
```
data_Ce3Ga12Pd5
_cell_length_a 15.691
_cell_length_b 15.691
_cell_length_c 15.691
_cell_angle_alpha 90.00
_cell_angle_beta 90.00
_cell_angle_gamma 90.00
_symmetry_space_group_name_H-M 'I a -3 d'
_symmetry_Int_Tables_number 230
_symmetry_space_group_name_Hall '-I 4bd 2c 3'
loop_
_atom_site_label
_atom_site_type_symbol
_atom_site_fract_x
_atom_site_fract_y
_atom_site_fract_z
Ce1 Ce 0.000 0.250 0.125
Ga1 Ga 0.056 0.067 0.631
Pd1 Pd 0.000 0.000 0.000
Pd2 Pd 0.000 0.250 0.375
```

=====

The following is a DFT calculation (GGA-PBE) of an optimized crystal structure of Ce2CuH.

V: 215.5 Å³ per cell
crystal system: trigonal
spin magnetization: 0.008 μB/cell
energy relative to the lowest polymorph listed for this composition: 247 meV per atom

Geometry as CIF:
```
data_Ce2CuH
_cell_length_a 3.0239
_cell_length_b 3.0239
_cell_length_c 27.2128
_cell_angle_alpha 90.00
_cell_angle_beta 90.00
_cell_angle_gamma 120.00
_symmetry_space_group_name_H-M 'R -3 m'
_symmetry_Int_Tables_number 166
_symmetry_space_group_name_Hall '-R 3 2"'
loop_
_atom_site_label
_atom_site_type_symbol
_atom_site_fract_x
_atom_site_fract_y
_atom_site_fract_z
Ce1 Ce 0.0000 0.0000 0.1066
Cu1 Cu 0.0000 0.0000 0.0000
H1 H 0.0000 0.0000 0.5000
```

=====

The following is a DFT calculation (GGA-PBE) of an optimized crystal structure of RbHfRh2.

calculated formation energy: 0.434 eV per atom
V: 316.8 Å³ per cell
crystal system: cubic
spin magnetization: 0.000 μB/cell
energy relative to the lowest polymorph listed for this composition: 0 meV per atom

Geometry as CIF:
```
data_RbHfRh2
_cell_length_a 6.817
_cell_length_b 6.817
_cell_length_c 6.817
_cell_angle_alpha 90.00
_cell_angle_beta 90.00
_cell_angle_gamma 90.00
_symmetry_space_group_name_H-M 'F m -3 m'
_symmetry_Int_Tables_number 225
_symmetry_space_group_name_Hall '-F 4 2 3'
loop_
_atom_site_label
_atom_site_type_symbol
_atom_site_fract_x
_atom_site_fract_y
_atom_site_fract_z
Rb1 Rb 0.000 0.000 0.000
Hf1 Hf 0.000 0.000 0.500
Rh1 Rh 0.250 0.250 0.250
```